BaMgFe2, relaxed, DFT PBE-GGA; energy of formation = 0.725 eV/atom; calculated total energy = -4.39 eV/atom
1.0
-2.397 2.397 9.488
2.397 -2.397 9.488
2.397 2.397 -9.488
Ba Mg Fe
2 2 4
Direct
0.375 0.625 0.750
0.625 0.375 0.250
0.125 0.875 0.250
0.875 0.125 0.750
0.000 0.000 0.000
0.000 0.000 0.500
0.000 0.500 0.000
0.500 0.000 0.500